Entry 1:
# PBE NaAg3PbSe4, optimized geometry
data_NaAg3PbSe4
_space_group_name_H-M_alt 'P 1'
_space_group_IT_number 1
_space_group_name_Hall 'P 1'
_cell_length_a 6.441
_cell_length_b 6.441
_cell_length_c 6.441
_cell_angle_alpha 90.00
_cell_angle_beta 90.00
_cell_angle_gamma 90.00
loop_
_atom_site_label
_atom_site_fract_x
_atom_site_fract_y
_atom_site_fract_z
Na1 0.000 0.000 0.000
Ag1 0.000 0.500 0.500
Ag2 0.500 0.000 0.500
Ag3 0.500 0.500 0.000
Pb1 0.500 0.500 0.500
Se1 0.255 0.255 0.255
Se2 0.255 0.745 0.745
Se3 0.745 0.255 0.745
Se4 0.745 0.745 0.255
# Energy, eV per cell: -28.78


Entry 2:
# PBE Ho2Ga4CoIr, optimized geometry
data_Ho2Ga4CoIr
_space_group_name_H-M_alt 'P 1'
_space_group_IT_number 1
_space_group_name_Hall 'P 1'
_cell_length_a 6.926
_cell_length_b 5.426
_cell_length_c 5.426
_cell_angle_alpha 44.72
_cell_angle_beta 90.00
_cell_angle_gamma 90.00
loop_
_atom_site_label
_atom_site_fract_x
_atom_site_fract_y
_atom_site_fract_z
Ho1 0.000 0.000 0.000
Ho2 0.500 0.142 0.142
Ga1 0.208 0.720 0.720
Ga2 0.312 0.430 0.430
Ga3 0.688 0.430 0.430
Ga4 0.792 0.720 0.720
Co1 0.500 0.863 0.863
Ir1 0.000 0.285 0.285
# Energy, eV per cell: -42.34


Entry 3:
# PBE Ta2NbRe, optimized geometry
data_Ta2NbRe
_space_group_name_H-M_alt 'P 1'
_space_group_IT_number 1
_space_group_name_Hall 'P 1'
_cell_length_a 4.590
_cell_length_b 4.590
_cell_length_c 4.590
_cell_angle_alpha 60.00
_cell_angle_beta 60.00
_cell_angle_gamma 60.00
loop_
_atom_site_label
_atom_site_fract_x
_atom_site_fract_y
_atom_site_fract_z
Ta1 0.250 0.250 0.250
Ta2 0.750 0.750 0.750
Nb1 0.000 0.000 0.000
Re1 0.500 0.500 0.500
# ΔH_f (0 K), eV/atom: -0.241


Entry 4:
# PBE Li2HgAu, optimized geometry
data_Li2HgAu
_space_group_name_H-M_alt 'P 1'
_space_group_IT_number 1
_space_group_name_Hall 'P 1'
_cell_length_a 3.233
_cell_length_b 3.233
_cell_length_c 6.319
_cell_angle_alpha 90.00
_cell_angle_beta 90.00
_cell_angle_gamma 90.00
loop_
_atom_site_label
_atom_site_fract_x
_atom_site_fract_y
_atom_site_fract_z
Li1 0.000 0.000 0.227
Li2 0.000 0.000 0.773
Hg1 0.500 0.500 0.500
Au1 0.500 0.500 0.000
# Excess energy over the best structure of this formula in the dataset, eV per formula unit: 0.01


Entry 5:
# PBE PaAlNO, optimized geometry
data_PaAlNO
_space_group_name_H-M_alt 'P 1'
_space_group_IT_number 1
_space_group_name_Hall 'P 1'
_cell_length_a 4.422
_cell_length_b 4.422
_cell_length_c 5.283
_cell_angle_alpha 90.00
_cell_angle_beta 90.00
_cell_angle_gamma 90.00
loop_
_atom_site_label
_atom_site_fract_x
_atom_site_fract_y
_atom_site_fract_z
Pa1 0.250 0.750 0.000
Pa2 0.750 0.250 0.000
Al1 0.250 0.250 0.471
Al2 0.750 0.750 0.529
N1 0.250 0.250 0.822
N2 0.750 0.750 0.178
O1 0.250 0.750 0.500
O2 0.750 0.250 0.500
# Excess energy over the best structure of this formula in the dataset, eV per formula unit: 1.81


Entry 6:
# PBE HfAgPb2, optimized geometry
data_HfAgPb2
_space_group_name_H-M_alt 'P 1'
_space_group_IT_number 1
_space_group_name_Hall 'P 1'
_cell_length_a 5.193
_cell_length_b 5.193
_cell_length_c 5.193
_cell_angle_alpha 60.00
_cell_angle_beta 60.00
_cell_angle_gamma 60.00
loop_
_atom_site_label
_atom_site_fract_x
_atom_site_fract_y
_atom_site_fract_z
Hf1 0.000 0.000 0.000
Ag1 0.250 0.250 0.250
Pb1 0.500 0.500 0.500
Pb2 0.750 0.750 0.750
# Energy, eV per cell: -18.71


Entry 7:
# PBE InMo2Pd, optimized geometry
data_InMo2Pd
_space_group_name_H-M_alt 'P 1'
_space_group_IT_number 1
_space_group_name_Hall 'P 1'
_cell_length_a 4.567
_cell_length_b 4.567
_cell_length_c 4.567
_cell_angle_alpha 60.00
_cell_angle_beta 60.00
_cell_angle_gamma 60.00
loop_
_atom_site_label
_atom_site_fract_x
_atom_site_fract_y
_atom_site_fract_z
In1 0.000 0.000 0.000
Mo1 0.500 0.500 0.500
Mo2 0.750 0.750 0.750
Pd1 0.250 0.250 0.250
# Energy, eV per cell: -28.64


Entry 8:
# PBE ZrTlCuNi, optimized geometry
data_ZrTlCuNi
_space_group_name_H-M_alt 'P 1'
_space_group_IT_number 1
_space_group_name_Hall 'P 1'
_cell_length_a 4.582
_cell_length_b 4.582
_cell_length_c 4.582
_cell_angle_alpha 60.00
_cell_angle_beta 60.00
_cell_angle_gamma 60.00
loop_
_atom_site_label
_atom_site_fract_x
_atom_site_fract_y
_atom_site_fract_z
Zr1 0.000 0.000 0.000
Tl1 0.250 0.250 0.250
Cu1 0.500 0.500 0.500
Ni1 0.750 0.750 0.750
# Excess energy over the best structure of this formula in the dataset, eV per formula unit: 0.85


Entry 9:
# PBE PrYMg6, optimized geometry
data_PrYMg6
_space_group_name_H-M_alt 'P 1'
_space_group_IT_number 1
_space_group_name_Hall 'P 1'
_cell_length_a 5.219
_cell_length_b 7.392
_cell_length_c 5.220
_cell_angle_alpha 90.00
_cell_angle_beta 90.00
_cell_angle_gamma 90.00
loop_
_atom_site_label
_atom_site_fract_x
_atom_site_fract_y
_atom_site_fract_z
Pr1 0.000 0.000 0.000
Y1 0.500 0.500 0.492
Mg1 0.000 0.255 0.501
Mg2 0.000 0.500 0.000
Mg3 0.000 0.745 0.501
Mg4 0.500 0.000 0.493
Mg5 0.500 0.255 0.992
Mg6 0.500 0.745 0.992
# Energy, eV per cell: -21.36


Entry 10:
# PBE Na6Sn2Mo, optimized geometry
data_Na6Sn2Mo
_space_group_name_H-M_alt 'P 1'
_space_group_IT_number 1
_space_group_name_Hall 'P 1'
_cell_length_a 5.726
_cell_length_b 5.726
_cell_length_c 9.200
_cell_angle_alpha 94.63
_cell_angle_beta 94.63
_cell_angle_gamma 56.31
loop_
_atom_site_label
_atom_site_fract_x
_atom_site_fract_y
_atom_site_fract_z
Na1 0.035 0.035 0.230
Na2 0.189 0.189 0.555
Na3 0.323 0.323 0.900
Na4 0.677 0.677 0.100
Na5 0.811 0.811 0.445
Na6 0.965 0.965 0.770
Sn1 0.356 0.356 0.241
Sn2 0.644 0.644 0.759
Mo1 0.500 0.500 0.500
# Energy, eV per cell: -24.74


Entry 11:
# PBE NiSe, optimized geometry
data_NiSe
_space_group_name_H-M_alt 'P 1'
_space_group_IT_number 1
_space_group_name_Hall 'P 1'
_cell_length_a 3.613
_cell_length_b 3.613
_cell_length_c 5.315
_cell_angle_alpha 90.00
_cell_angle_beta 90.00
_cell_angle_gamma 97.57
loop_
_atom_site_label
_atom_site_fract_x
_atom_site_fract_y
_atom_site_fract_z
Ni1 0.000 0.000 0.000
Ni2 0.500 0.500 0.000
Se1 0.250 0.750 0.660
Se2 0.750 0.250 0.340
# Energy, eV per cell: -17.47


Entry 12:
# PBE ScAgTeO, optimized geometry
data_ScAgTeO
_space_group_name_H-M_alt 'P 1'
_space_group_IT_number 1
_space_group_name_Hall 'P 1'
_cell_length_a 7.871
_cell_length_b 6.984
_cell_length_c 6.271
_cell_angle_alpha 90.00
_cell_angle_beta 105.02
_cell_angle_gamma 90.00
loop_
_atom_site_label
_atom_site_fract_x
_atom_site_fract_y
_atom_site_fract_z
Sc1 0.019 0.133 0.200
Sc2 0.019 0.367 0.700
Sc3 0.981 0.633 0.300
Sc4 0.981 0.867 0.800
Ag1 0.453 0.717 0.496
Ag2 0.453 0.783 0.996
Ag3 0.547 0.217 0.004
Ag4 0.547 0.283 0.504
Te1 0.289 0.041 0.649
Te2 0.289 0.459 0.149
Te3 0.711 0.541 0.851
Te4 0.711 0.959 0.351
O1 0.049 0.649 0.627
O2 0.049 0.851 0.127
O3 0.951 0.149 0.873
O4 0.951 0.351 0.373
# Excess energy over the best structure of this formula in the dataset, eV per formula unit: 0.05


Entry 13:
# PBE LiAcAg, optimized geometry
data_LiAcAg
_space_group_name_H-M_alt 'P 1'
_space_group_IT_number 1
_space_group_name_Hall 'P 1'
_cell_length_a 5.138
_cell_length_b 5.138
_cell_length_c 5.138
_cell_angle_alpha 60.00
_cell_angle_beta 60.00
_cell_angle_gamma 60.00
loop_
_atom_site_label
_atom_site_fract_x
_atom_site_fract_y
_atom_site_fract_z
Li1 0.000 0.000 0.000
Ac1 0.500 0.500 0.500
Ag1 0.750 0.750 0.750
# Excess energy over the best structure of this formula in the dataset, eV per formula unit: 0.00


Entry 14:
# PBE CsLiWSe3, optimized geometry
data_CsLiWSe3
_space_group_name_H-M_alt 'P 1'
_space_group_IT_number 1
_space_group_name_Hall 'P 1'
_cell_length_a 8.163
_cell_length_b 8.163
_cell_length_c 9.987
_cell_angle_alpha 90.00
_cell_angle_beta 90.00
_cell_angle_gamma 151.77
loop_
_atom_site_label
_atom_site_fract_x
_atom_site_fract_y
_atom_site_fract_z
Cs1 0.249 0.751 0.750
Cs2 0.751 0.249 0.250
Li1 0.031 0.969 0.250
Li2 0.969 0.031 0.750
W1 0.500 0.500 0.000
W2 0.500 0.500 0.500
Se1 0.106 0.894 0.038
Se2 0.106 0.894 0.462
Se3 0.443 0.557 0.250
Se4 0.557 0.443 0.750
Se5 0.894 0.106 0.538
Se6 0.894 0.106 0.962
# Energy, eV per cell: -59.91


Entry 15:
# PBE RbSiNi, optimized geometry
data_RbSiNi
_space_group_name_H-M_alt 'P 1'
_space_group_IT_number 1
_space_group_name_Hall 'P 1'
_cell_length_a 4.676
_cell_length_b 4.676
_cell_length_c 4.676
_cell_angle_alpha 60.00
_cell_angle_beta 60.00
_cell_angle_gamma 60.00
loop_
_atom_site_label
_atom_site_fract_x
_atom_site_fract_y
_atom_site_fract_z
Rb1 0.000 0.000 0.000
Si1 0.500 0.500 0.500
Ni1 0.250 0.250 0.250
# Excess energy over the best structure of this formula in the dataset, eV per formula unit: 0.00


Entry 16:
# PBE SmHSe2, optimized geometry
data_SmHSe2
_space_group_name_H-M_alt 'P 1'
_space_group_IT_number 1
_space_group_name_Hall 'P 1'
_cell_length_a 7.130
_cell_length_b 7.243
_cell_length_c 7.344
_cell_angle_alpha 90.00
_cell_angle_beta 100.56
_cell_angle_gamma 90.00
loop_
_atom_site_label
_atom_site_fract_x
_atom_site_fract_y
_atom_site_fract_z
Sm1 0.180 0.051 0.292
Sm2 0.180 0.449 0.792
Sm3 0.820 0.551 0.208
Sm4 0.820 0.949 0.708
H1 0.456 0.720 0.409
H2 0.456 0.780 0.909
H3 0.544 0.220 0.091
H4 0.544 0.280 0.591
Se1 0.075 0.741 0.513
Se2 0.075 0.759 0.013
Se3 0.426 0.144 0.673
Se4 0.426 0.356 0.173
Se5 0.574 0.644 0.827
Se6 0.574 0.856 0.327
Se7 0.925 0.241 0.987
Se8 0.925 0.259 0.487
# Energy, eV per cell: -78.79


Entry 17:
# PBE CuReSiW, optimized geometry
data_CuReSiW
_space_group_name_H-M_alt 'P 1'
_space_group_IT_number 1
_space_group_name_Hall 'P 1'
_cell_length_a 4.293
_cell_length_b 4.293
_cell_length_c 4.293
_cell_angle_alpha 60.00
_cell_angle_beta 60.00
_cell_angle_gamma 60.00
loop_
_atom_site_label
_atom_site_fract_x
_atom_site_fract_y
_atom_site_fract_z
Cu1 0.000 0.000 0.000
Re1 0.500 0.500 0.500
Si1 0.750 0.750 0.750
W1 0.250 0.250 0.250
# Excess energy over the best structure of this formula in the dataset, eV per formula unit: 0.00


Entry 18:
# PBE SrTePtO, optimized geometry
data_SrTePtO
_space_group_name_H-M_alt 'P 1'
_space_group_IT_number 1
_space_group_name_Hall 'P 1'
_cell_length_a 6.269
_cell_length_b 7.348
_cell_length_c 7.925
_cell_angle_alpha 90.00
_cell_angle_beta 90.00
_cell_angle_gamma 90.00
loop_
_atom_site_label
_atom_site_fract_x
_atom_site_fract_y
_atom_site_fract_z
Sr1 0.145 0.160 0.179
Sr2 0.355 0.840 0.679
Sr3 0.645 0.340 0.821
Sr4 0.855 0.660 0.321
Te1 0.140 0.258 0.677
Te2 0.360 0.742 0.177
Te3 0.640 0.242 0.323
Te4 0.860 0.758 0.823
Pt1 0.165 0.546 0.945
Pt2 0.335 0.454 0.445
Pt3 0.665 0.954 0.055
Pt4 0.835 0.046 0.555
O1 0.129 0.650 0.520
O2 0.371 0.350 0.020
O3 0.629 0.850 0.480
O4 0.871 0.150 0.980
# Excess energy over the best structure of this formula in the dataset, eV per formula unit: 0.67


Entry 19:
# PBE PaCdPO, optimized geometry
data_PaCdPO
_space_group_name_H-M_alt 'P 1'
_space_group_IT_number 1
_space_group_name_Hall 'P 1'
_cell_length_a 5.792
_cell_length_b 5.792
_cell_length_c 4.807
_cell_angle_alpha 90.00
_cell_angle_beta 90.00
_cell_angle_gamma 90.00
loop_
_atom_site_label
_atom_site_fract_x
_atom_site_fract_y
_atom_site_fract_z
Pa1 0.250 0.750 0.000
Pa2 0.750 0.250 0.000
Cd1 0.250 0.250 0.494
Cd2 0.750 0.750 0.506
P1 0.250 0.250 0.995
P2 0.750 0.750 0.005
O1 0.250 0.750 0.500
O2 0.750 0.250 0.500
# Excess energy over the best structure of this formula in the dataset, eV per formula unit: 1.48


Entry 20:
# PBE NaFeSb, optimized geometry
data_NaFeSb
_space_group_name_H-M_alt 'P 1'
_space_group_IT_number 1
_space_group_name_Hall 'P 1'
_cell_length_a 4.560
_cell_length_b 4.560
_cell_length_c 4.560
_cell_angle_alpha 60.00
_cell_angle_beta 60.00
_cell_angle_gamma 60.00
loop_
_atom_site_label
_atom_site_fract_x
_atom_site_fract_y
_atom_site_fract_z
Na1 0.000 0.000 0.000
Fe1 0.250 0.250 0.250
Sb1 0.500 0.500 0.500
# Energy, eV per cell: -12.87